8
Lattice="-2.1421 3.5891 7.3843 2.1421 -3.5891 7.3843 2.1421 3.5891 -7.3843" Properties=species:S:1:pos:R:3 comment="PBE BaPa2Se5, relaxed" relative_energy_mev_per_atom=73 formation_energy_uncorrected_ev_per_atom=-1.534 e_tot_ev_per_atom=-6.326 pbc="T T T"
Ba 0.0000 0.0000 0.0000
Pa 2.1421 0.0000 4.6137
Pa 0.0000 3.5891 2.7707
Se 2.1421 1.6835 -2.2045
Se 2.1421 1.6835 2.2045
Se 0.0000 3.5891 0.0000
Se 0.0000 1.9056 5.1799
Se 0.0000 1.9056 9.5888